The following is a GGA-PBE calculation of Pr2Ho5ErTm after structural relaxation, from the Alexandria database.

Results
energy: -78.0 eV/cell
volume: 32.20 Å³ per atom
M_tot: 0.00 μB per cell
SG: I4/mcm (140)
energy relative to the elements: 2.49 eV per formula unit

The structure in POSCAR format:
```
Pr2Ho5ErTm
1.0
-1.8370 -8.3091 0.6346
8.3322 -1.8209 0.2770
-3.3729 5.6987 7.4783
Pr Ho Er Tm
4 10 2 2
Direct
0.1193 0.3807 0.0000
0.6193 0.1193 0.0000
0.3807 0.8807 0.0000
0.8807 0.6193 0.0000
0.9271 0.4271 0.2854
0.6418 0.1418 0.7146
0.0729 0.5729 0.7146
0.1418 0.0729 0.7146
0.5729 0.6418 0.7146
0.8582 0.9271 0.2854
0.4271 0.3582 0.2854
0.3582 0.8582 0.2854
0.5000 0.5000 0.0000
0.0000 0.0000 0.0000
0.2500 0.7500 0.5000
0.7500 0.2500 0.5000
0.2500 0.2500 0.5000
0.7500 0.7500 0.5000
```